VASP calculation (PBE) on a relaxed structure of AcTmHgIr.

abc: 5.2442 5.2442 5.2442
angles: 60.00 60.00 60.00
Fractional positions:
1 Ac 0.2500 0.2500 0.2500
2 Ir 0.0000 0.0000 0.0000
3 Tm 0.7500 0.7500 0.7500
4 Hg 0.5000 0.5000 0.5000

Summary:
As for the formation energy: -454 meV/atom. The energy is -19.557 eV per formula unit. The density is 12.84 g/cm³.